Entry 1:
CePHRu: optimized geometry, GGA-PBE.

Results
As for the total DFT energy (no corrections): -6.929 eV/atom. Its size of the total moment is 0.704 Bohr magnetons per cell. As for the space-group type: P4/nmm, No. 129. The calculation puts the volume at 15.0 A^3/atom.

Unit cell a=4.027 b=4.027 c=7.408 alpha=90.00 beta=90.00 gamma=90.00
Sites, in units of the cell vectors:
Ce1 0.250 0.250 0.172
Ce2 0.750 0.750 0.828
P1 0.250 0.250 0.669
P2 0.750 0.750 0.331
H1 0.250 0.750 0.000
H2 0.750 0.250 0.000
Ru1 0.250 0.750 0.500
Ru2 0.750 0.250 0.500

Entry 2:
Li2As2Au: optimized geometry, GGA-PBE.

Results
The relative energy among the computed polymorphs is 16.4 meV/atom. As for the total DFT energy (no corrections): -3.701 eV/atom. Its size of the total moment is 0.000 Bohr magnetons per cell. As for the space-group type: P4/mbm, No. 127. The calculation puts the volume at 18.5 A^3/atom.

Unit cell a=6.740 b=6.740 c=4.081 alpha=90.00 beta=90.00 gamma=90.00
Sites, in units of the cell vectors:
Li1 0.167 0.333 0.000
Li2 0.333 0.833 0.000
Li3 0.667 0.167 0.000
Li4 0.833 0.667 0.000
As1 0.131 0.631 0.500
As2 0.369 0.131 0.500
As3 0.631 0.869 0.500
As4 0.869 0.369 0.500
Au1 0.000 0.000 0.500
Au2 0.500 0.500 0.500